Record 1
Below is a relaxed CdCo2Ni crystal, with properties calculated at the PBEsol level.

abc: 5.852 5.852 5.852
angles: 90.00 90.00 90.00
Space group F-43m (No. 216)
Asymmetric unit:
Cd: 0.000 0.000 0.000 x4
Co: 0.000 0.000 0.500 x4
Co: 0.250 0.250 0.750 x4
Ni: 0.250 0.250 0.250 x4

Properties
Excess energy over the best structure of this formula in the dataset   59 meV/atom
Energy of formation   0.32 eV per atom

Record 2
Below is a relaxed TcNi2Te crystal, with properties calculated at the PBEsol level.

abc: 3.797 3.797 3.767
angles: 90.00 90.00 90.00
Space group P4/mmm (No. 123)
Asymmetric unit:
Tc: 0.000 0.000 0.000 x1
Ni: 0.000 0.500 0.500 x2
Te: 0.500 0.500 0.000 x1

Properties
Energy relative to the elements, uncorrected   200 meV per atom

Record 3
Below is a relaxed Be5Au crystal, with properties calculated at the PBEsol level.

abc: 7.946 2.916 5.233
angles: 90.00 108.86 90.00
Space group C2/m (No. 12)
Asymmetric unit:
Be: 0.000 0.000 0.000 x2
Be: 0.169 0.500 0.861 x4
Be: 0.170 0.500 0.304 x4
Au: 0.000 0.000 0.500 x2

Properties
Excess energy over the best structure of this formula in the dataset   91 meV/atom
Energy of formation   -0.03 eV per atom

Record 4
Below is a relaxed Sr2NbTlSb crystal, with properties calculated at the PBEsol level.

abc: 5.765 5.765 5.302
angles: 90.00 90.00 90.00
Space group P4/mmm (No. 123)
Asymmetric unit:
Sr: 0.000 0.500 0.000 x2
Nb: 0.000 0.000 0.000 x1
Tl: 0.500 0.500 0.500 x1
Sb: 0.000 0.000 0.500 x1

Properties
Energy relative to the elements, uncorrected   375 meV per atom

Record 5
Below is a relaxed HfCrNi2Rh crystal, with properties calculated at the PBEsol level.

abc: 4.343 4.343 4.552
angles: 90.00 90.00 90.00
Space group P4/mmm (No. 123)
Asymmetric unit:
Hf: 0.000 0.000 0.000 x1
Cr: 0.000 0.000 0.500 x1
Ni: 0.000 0.500 0.000 x2
Rh: 0.500 0.500 0.500 x1

Properties
Energy of formation   1.63 eV per atom

Record 6
Below is a relaxed Na3GdI6 crystal, with properties calculated at the PBEsol level.

abc: 7.792 13.356 7.755
angles: 90.00 109.83 90.00
Space group C2 (No. 5)
Asymmetric unit:
Na: 0.000 0.000 0.000 x2
Na: 0.000 0.162 0.500 x2
Na: 0.000 0.665 0.000 x2
Gd: 0.000 0.334 0.000 x2
I: 0.237 0.332 0.759 x4
I: 0.241 0.174 0.245 x4
I: 0.243 0.493 0.243 x4

Properties
Energy relative to the elements, uncorrected   -1301 meV per atom